# 1
Entry from Alexandria: a relaxed HfZrPa2N5 crystal (PBE-GGA).

Properties
- VASP energy: -10.2990 eV per atom
- Uncorrected formation energy: -1.5078 eV per atom
- Magnetization: 0.00 μB/atom
- Theoretical density: 10.75 g cm⁻³

Unit cell a=3.4207 b=13.3852 c=10.8189 alpha=90.00 beta=90.00 gamma=90.00
With the nearest neighbours (Å) after each atom.
Space group Cmc2_1 (No. 36)
One atom of each set of equivalent atoms:
1 Hf 0.0000 0.2270 0.0000 [4 per cell]  4 N 2.12-2.24
2 Zr 0.0000 0.4705 0.4676 [4 per cell]  4 N 2.12-2.16
3 Pa 0.0000 0.1075 0.6962 [4 per cell]  3 N 2.24-2.37
4 Pa 0.0000 0.1446 0.2669 [4 per cell]  6 N 2.34-2.47
5 N 0.0000 0.0696 0.0716 [4 per cell]  2 Zr 2.12, 1 Hf 2.24, 1 Pa 2.34
6 N 0.0000 0.2715 0.6544 [4 per cell]  3 Pa 2.24-2.38, 2 Hf 2.39
7 N 0.0000 0.3072 0.3750 [4 per cell]  2 Hf 2.23, 1 Zr 2.40, 1 Pa 2.47
8 N 0.0000 0.3812 0.0457 [4 per cell]  1 Hf 2.12, 1 Zr 2.16, 2 Pa 2.37
9 N 0.0000 0.4841 0.7769 [4 per cell]  1 Zr 2.15

***

# 2
Entry from Alexandria: a relaxed Pm2FeRe3 crystal (PBE-GGA).

Properties
- VASP energy: -9.2240 eV per atom
- Energy relative to the elements: -0.006 eV/atom
- Magnetization: 0.43 μB/atom
- Theoretical density: 13.14 g cm⁻³

Unit cell a=5.3406 b=5.3406 c=13.8748 alpha=90.00 beta=90.00 gamma=120.00
With the nearest neighbours (Å) after each atom.
Space group R-3m (No. 166, hexagonal axes)
One atom of each set of equivalent atoms:
1 Pm 0.0000 0.0000 0.1248 [6 per cell]  3 Fe 3.14, 9 Re 3.18-3.28, 4 Pm 3.29-3.46
2 Fe 0.0000 0.0000 0.5000 [3 per cell]  6 Re 2.78
3 Re 0.0000 0.5000 0.0000 [9 per cell]  4 Re 2.67, 2 Fe 2.78

***

# 3
Entry from Alexandria: a relaxed BeCrMoRu crystal (PBE-GGA).

Properties
- VASP energy: -8.3376 eV per atom
- Energy relative to the elements: 0.026 eV/atom
- Magnetization: 0.49 μB/atom
- Theoretical density: 8.22 g cm⁻³

Unit cell a=5.9296 b=5.9296 c=5.9296 alpha=90.00 beta=90.00 gamma=90.00
With the nearest neighbours (Å) after each atom.
Space group F-43m (No. 216)
One atom of each set of equivalent atoms:
1 Be 0.0000 0.0000 0.0000 [4 per cell]  4 Cr 2.57, 4 Ru 2.57
2 Cr 0.2500 0.2500 0.2500 [4 per cell]  4 Mo 2.57, 4 Be 2.57
3 Mo 0.0000 0.0000 0.5000 [4 per cell]  4 Cr 2.57, 4 Ru 2.57
4 Ru 0.2500 0.2500 0.7500 [4 per cell]  4 Mo 2.57, 4 Be 2.57

***

# 4
Entry from Alexandria: a relaxed AcNpS2O crystal (PBE-GGA).

Properties
- VASP energy: -8.2553 eV per atom
- Uncorrected formation energy: -2.2029 eV per atom
- Magnetization: 0.78 μB/atom
- Theoretical density: 7.84 g cm⁻³

Unit cell a=4.0502 b=4.0502 c=14.0433 alpha=90.00 beta=90.00 gamma=90.00
With the nearest neighbours (Å) after each atom.
Space group P4/nmm (No. 129, origin choice 2)
One atom of each set of equivalent atoms:
1 Ac 0.2500 0.2500 0.0971 [2 per cell]  4 O 2.44
2 Np 0.2500 0.2500 0.6075 [2 per cell]  2 S 2.55-2.80
3 S 0.2500 0.2500 0.4080 [2 per cell]  5 Np 2.80-2.87
4 S 0.2500 0.2500 0.7893 [2 per cell]  1 Np 2.55
5 O 0.2500 0.7500 0.0000 [2 per cell]  4 Ac 2.44

***

# 5
Entry from Alexandria: a relaxed MgCd2RuO6 crystal (PBE-GGA).

Properties
- VASP energy: -5.4851 eV per atom
- Uncorrected formation energy: -1.2401 eV per atom
- Magnetization: 0.19 μB/atom
- Theoretical density: 6.33 g cm⁻³

Unit cell a=5.4320 b=5.5233 c=9.4858 alpha=90.00 beta=124.68 gamma=90.00
With the nearest neighbours (Å) after each atom.
Space group P2_1/c (No. 14)
One atom of each set of equivalent atoms:
1 Mg 0.0000 0.0000 0.0000 [2 per cell]  6 O 2.09-2.12
2 Cd 0.2560 0.0442 0.7495 [4 per cell]  4 O 2.27-2.36
3 Ru 0.5000 0.0000 0.5000 [2 per cell]  6 O 1.94-1.97
4 O 0.1617 0.0404 0.2593 [4 per cell]  1 Ru 1.97, 1 Mg 2.10
5 O 0.2537 0.6879 0.0478 [4 per cell]  1 Ru 1.94, 1 Mg 2.09
6 O 0.3730 0.2074 0.0556 [4 per cell]  1 Ru 1.94, 1 Mg 2.12

***

# 6
Entry from Alexandria: a relaxed UTeSe2 crystal (PBE-GGA).

Properties
- VASP energy: -5.7066 eV per atom
- Polymorph energy (0 for the lowest one): 354 meV/atom
- Uncorrected formation energy: -0.3569 eV per atom
- Magnetization: 0.30 μB/atom
- Theoretical density: 8.00 g cm⁻³

Unit cell a=4.6641 b=4.6641 c=17.3088 alpha=90.00 beta=90.00 gamma=120.00
With the nearest neighbours (Å) after each atom.
Space group R-3m (No. 166, hexagonal axes)
One atom of each set of equivalent atoms:
1 U 0.0000 0.0000 0.0000 [3 per cell]  6 Se 2.85
2 Te 0.0000 0.0000 0.5000 [3 per cell]  6 Se 3.32
3 Se 0.0000 0.0000 0.2788 [6 per cell]  3 U 2.85

***

# 7
Entry from Alexandria: a relaxed CoCl crystal (PBE-GGA).

Properties
- VASP energy: -4.5178 eV per atom
- Uncorrected formation energy: -0.0415 eV per atom
- Magnetization: 1.01 μB/atom
- Theoretical density: 4.03 g cm⁻³

Unit cell a=4.5559 b=3.4954 c=4.8867 alpha=90.00 beta=90.71 gamma=90.00
With the nearest neighbours (Å) after each atom.
Space group Pm (No. 6)
One atom of each set of equivalent atoms:
1 Co 0.0000 0.0000 0.0000 [1 per cell]  3 Cl 2.23-2.38, 2 Co 2.29
2 Co 0.1835 0.5000 0.2517 [1 per cell]  2 Co 2.29, 4 Cl 2.32-2.46
3 Cl 0.2356 0.0000 0.6034 [1 per cell]  3 Co 2.23-2.46
4 Cl 0.6730 0.5000 0.1236 [1 per cell]  4 Co 2.32-2.40

***

# 8
Entry from Alexandria: a relaxed CeNdCd4 crystal (PBE-GGA).

Properties
- VASP energy: -2.6397 eV per atom
- Energy relative to the elements: -0.246 eV/atom
- Polymorph energy (0 for the lowest one): 54 meV/atom
- Magnetization: 0.16 μB/atom
- Theoretical density: 8.02 g cm⁻³

Unit cell a=8.4696 b=8.4696 c=8.4696 alpha=90.00 beta=90.00 gamma=90.00
With the nearest neighbours (Å) after each atom.
Space group F-43m (No. 216)
One atom of each set of equivalent atoms:
1 Ce 0.0000 0.0000 0.0000 [4 per cell]  12 Cd 3.51, 4 Nd 3.67
2 Nd 0.2500 0.2500 0.7500 [4 per cell]  12 Cd 3.51, 4 Ce 3.67
3 Cd 0.1249 0.1249 0.3751 [16 per cell]  6 Cd 2.99-3.00

***

# 9
Entry from Alexandria: a relaxed Be2In2Au crystal (PBE-GGA).

Properties
- VASP energy: -3.0537 eV per atom
- Energy relative to the elements: 0.188 eV/atom
- Magnetization: 0.00 μB/atom
- Theoretical density: 8.81 g cm⁻³

Unit cell a=6.4446 b=6.4446 c=4.0374 alpha=90.00 beta=90.00 gamma=90.00
With the nearest neighbours (Å) after each atom.
Space group P4/mbm (No. 127)
One atom of each set of equivalent atoms:
1 Be 0.1264 0.3736 0.0000 [4 per cell]  1 Be 2.30, 2 Au 2.54
2 In 0.1714 0.6714 0.5000 [4 per cell]  6 Be 2.73-2.80
3 Au 0.0000 0.0000 0.0000 [2 per cell]  4 Be 2.54

***

# 10
Entry from Alexandria: a relaxed Tb2ZnNi9 crystal (PBE-GGA).

Properties
- VASP energy: -5.4217 eV per atom
- Energy relative to the elements: -0.208 eV/atom
- Magnetization: 0.18 μB/atom
- Theoretical density: 9.05 g cm⁻³

Unit cell a=4.9002 b=4.9002 c=24.1333 alpha=90.00 beta=90.00 gamma=120.00
With the nearest neighbours (Å) after each atom.
Space group R-3m (No. 166, hexagonal axes)
One atom of each set of equivalent atoms:
1 Tb 0.0000 0.0000 0.1345 [6 per cell]  9 Ni 2.77-2.93
2 Zn 0.0000 0.0000 0.0000 [3 per cell]  18 Ni 2.83-3.14
3 Ni 0.0000 0.0000 0.3330 [6 per cell]  6 Ni 2.41-2.42
4 Ni 0.0000 0.0000 0.5000 [3 per cell]  6 Ni 2.50
5 Ni 0.0009 0.5004 0.9189 [18 per cell]  7 Ni 2.41-2.50